#i
Computed, not measured: an optimized crystal structure of ScNb2Re at the PBE-GGA level of DFT.

Geometry as POSCAR:
```
ScNb2Re
1.0
3.212 0.000 0.000
0.000 4.685 0.000
0.000 0.000 4.685
Sc Nb Re
1 2 1
Direct
0.500 0.500 0.500
0.000 0.000 0.500
0.000 0.500 0.000
0.500 0.000 0.000
```

=====

#ii
Computed, not measured: an optimized crystal structure of ScNb2Re at the PBE-GGA level of DFT.

Geometry as POSCAR:
```
ScNb2Re
1.0
7.515 0.000 0.000
0.000 7.515 0.000
3.757 3.757 2.818
Sc Re Nb
2 2 4
Direct
0.500 0.500 0.000
0.250 0.750 0.500
0.750 0.250 0.500
0.000 0.000 0.000
0.084 0.625 0.250
0.666 0.125 0.250
0.875 0.916 0.750
0.375 0.334 0.750
```

=====

Tell me which of them is the most stable. Sure, it is #i.

=====

#i
Computed, not measured: an optimized crystal structure of ScNb2Re at the PBE-GGA level of DFT.

Geometry as POSCAR:
```
ScNb2Re
1.0
0.000 3.276 3.276
3.276 0.000 3.276
3.276 3.276 0.000
Sc Nb Re
1 2 1
Direct
0.000 0.000 0.000
0.750 0.750 0.750
0.250 0.250 0.250
0.500 0.500 0.500
```

=====

#ii
Computed, not measured: an optimized crystal structure of ScNb2Re at the PBE-GGA level of DFT.

Geometry as POSCAR:
```
ScNb2Re
1.0
3.202 0.000 0.000
0.000 3.202 0.000
0.000 0.000 7.154
Sc Nb Re
1 2 1
Direct
0.500 0.500 0.500
0.000 0.000 0.781
0.000 0.000 0.219
0.500 0.500 0.000
```

=====

Tell me which of them is the most stable. Sure, it is #i.

=====

#i
Computed, not measured: an optimized crystal structure of NbReSe2 at the PBE-GGA level of DFT.

Geometry as POSCAR:
```
NbReSe2
1.0
5.850 0.000 0.000
0.000 5.850 0.000
2.925 2.925 5.398
Se Nb Re
4 2 2
Direct
0.104 0.625 0.250
0.646 0.125 0.250
0.875 0.896 0.750
0.375 0.354 0.750
0.500 0.500 0.000
0.250 0.750 0.500
0.750 0.250 0.500
0.000 0.000 0.000
```

=====

#ii
Computed, not measured: an optimized crystal structure of NbReSe2 at the PBE-GGA level of DFT.

Geometry as POSCAR:
```
NbReSe2
1.0
0.000 3.177 3.177
3.177 0.000 3.177
3.177 3.177 0.000
Re Nb Se
1 1 2
Direct
0.500 0.500 0.500
0.000 0.000 0.000
0.750 0.750 0.750
0.250 0.250 0.250
```

=====

Tell me which of them is the most stable. Sure, it is #ii.

=====

#i
Computed, not measured: an optimized crystal structure of NbRe3Se at the PBE-GGA level of DFT.

Geometry as POSCAR:
```
NbRe3Se
1.0
-0.843 -3.833 2.211
4.395 -0.991 -0.042
0.522 2.149 3.925
Re Se Nb
3 1 1
Direct
0.000 0.500 0.000
0.500 0.000 0.000
0.000 0.000 0.500
0.000 0.000 0.000
0.500 0.500 0.500
```

=====

#ii
Computed, not measured: an optimized crystal structure of NbRe3Se at the PBE-GGA level of DFT.

Geometry as POSCAR:
```
NbRe3Se
1.0
4.782 0.000 0.000
0.000 4.782 0.000
0.000 0.000 4.782
Re Se Nb
3 1 1
Direct
0.000 0.500 0.000
0.500 0.000 0.000
0.000 0.000 0.500
0.500 0.500 0.500
0.000 0.000 0.000
```

=====

Tell me which of them is the most stable. Sure, it is #i.